A plane-wave DFT calculation with PBE was carried out for Ac2SmGaO6 after structural relaxation.

Geometry as POSCAR:
```
Ac2SmGaO6
1.0
5.820 0.000 0.000
0.000 8.372 0.000
0.000 0.000 6.314
Ac Sm Ga O
4 2 2 12
Direct
0.250 0.028 0.191
0.250 0.472 0.191
0.750 0.528 0.809
0.750 0.972 0.809
0.250 0.250 0.701
0.750 0.750 0.299
0.250 0.750 0.774
0.750 0.250 0.226
0.008 0.750 0.015
0.009 0.250 0.421
0.250 0.511 0.801
0.250 0.989 0.801
0.491 0.250 0.421
0.492 0.750 0.015
0.508 0.250 0.985
0.509 0.750 0.579
0.750 0.011 0.199
0.750 0.489 0.199
0.991 0.750 0.579
0.992 0.250 0.985
```

Computed properties:
Formation energy from raw total energies   -2.86 eV per atom
Size of the total moment   0.00 μB per cell
E   -7.4289 eV per atom